# Tm2CdGa9

An optimized crystal structure of Tm2CdGa9 (PBE, the Alexandria database).

Its energy relative to the elements is -3.52 eV per formula unit.

a b c (Å): 4.2934 4.2934 12.5972
angles (deg): 90.00 90.00 90.00
Space group P4/mmm (No. 123)
Inequivalent atoms, fractional coordinates:
Tm 0.0000 0.0000 0.1664 [2 per cell]
Cd 0.0000 0.0000 0.5000 [1 per cell]
Ga 0.0000 0.5000 0.0000 [2 per cell]
Ga 0.0000 0.5000 0.3380 [4 per cell]
Ga 0.5000 0.5000 0.1636 [2 per cell]
Ga 0.5000 0.5000 0.5000 [1 per cell]

# Tb12Nd3Ho

An optimized crystal structure of Tb12Nd3Ho (PBE, the Alexandria database).

Its energy relative to the elements is 0.28 eV per formula unit.

a b c (Å): 5.0633 5.0633 20.2476
angles (deg): 90.00 90.00 90.00
Space group P4/mmm (No. 123)
Inequivalent atoms, fractional coordinates:
Tb 0.0000 0.0000 0.0000 [1 per cell]
Tb 0.0000 0.0000 0.2486 [2 per cell]
Tb 0.0000 0.0000 0.5000 [1 per cell]
Tb 0.0000 0.5000 0.1233 [4 per cell]
Tb 0.0000 0.5000 0.3745 [4 per cell]
Nd 0.5000 0.5000 0.2492 [2 per cell]
Nd 0.5000 0.5000 0.5000 [1 per cell]
Ho 0.5000 0.5000 0.0000 [1 per cell]

# CeCdNiPt

An optimized crystal structure of CeCdNiPt (PBE, the Alexandria database).

Its energy relative to the elements is -1.95 eV per formula unit.

a b c (Å): 6.7635 6.7635 6.7635
angles (deg): 90.00 90.00 90.00
Space group F-43m (No. 216)
Inequivalent atoms, fractional coordinates:
Ce 0.0000 0.0000 0.0000 [4 per cell]
Cd 0.0000 0.0000 0.5000 [4 per cell]
Ni 0.2500 0.2500 0.7500 [4 per cell]
Pt 0.2500 0.2500 0.2500 [4 per cell]

# LiPd3Pt

An optimized crystal structure of LiPd3Pt (PBE, the Alexandria database).

Its energy relative to the elements is -0.05 eV per formula unit.

a b c (Å): 5.2399 7.3172 9.0172
angles (deg): 90.00 90.00 90.00
Space group Imma (No. 74)
Inequivalent atoms, fractional coordinates:
Li 0.0000 0.2500 0.0037 [4 per cell]
Pd 0.0000 0.2500 0.7038 [4 per cell]
Pd 0.2500 0.0724 0.2500 [8 per cell]
Pt 0.0000 0.0000 0.5000 [4 per cell]

# Sr3Cu2AsO9

An optimized crystal structure of Sr3Cu2AsO9 (PBE, the Alexandria database).

The value obtained for the formation energy (no corrections) is -1.60 eV per atom.

a b c (Å): 5.5096 5.5096 6.7501
angles (deg): 90.00 90.00 120.00
Space group P-3m1 (No. 164)
Inequivalent atoms, fractional coordinates:
Sr 0.0000 0.0000 0.0000 [1 per cell]
Sr 0.3333 0.6667 0.6720 [2 per cell]
Cu 0.3333 0.6667 0.1618 [2 per cell]
As 0.0000 0.0000 0.5000 [1 per cell]
O 0.0000 0.5000 0.0000 [3 per cell]
O 0.1606 0.3212 0.3428 [6 per cell]

# Er3InOs

An optimized crystal structure of Er3InOs (PBE, the Alexandria database).

Its energy relative to the elements is -0.65 eV per formula unit.

a b c (Å): 6.5172 6.5200 7.9118
angles (deg): 108.50 102.51 110.58
Space group P1 (No. 1)
Inequivalent atoms, fractional coordinates:
Er 0.0000 0.0000 0.0000 [1 per cell]
Er 0.0619 0.7752 0.3345 [1 per cell]
Er 0.4157 0.9216 0.8218 [1 per cell]
Er 0.5545 0.2840 0.3390 [1 per cell]
Er 0.6256 0.8396 0.4450 [1 per cell]
Er 0.9131 0.4130 0.8240 [1 per cell]
In 0.1104 0.3458 0.4620 [1 per cell]
In 0.5083 0.4920 0.9902 [1 per cell]
Os 0.3123 0.8032 0.1042 [1 per cell]
Os 0.9396 0.6924 0.6272 [1 per cell]

# FeNiAg

An optimized crystal structure of FeNiAg (PBE, the Alexandria database).

Its energy relative to the elements is 1.84 eV per formula unit.

a b c (Å): 5.7721 5.7721 5.7721
angles (deg): 90.00 90.00 90.00
Space group F-43m (No. 216)
Inequivalent atoms, fractional coordinates:
Fe 0.0000 0.0000 0.0000 [4 per cell]
Ni 0.2500 0.2500 0.2500 [4 per cell]
Ag 0.0000 0.0000 0.5000 [4 per cell]

# BaScTl

An optimized crystal structure of BaScTl (PBE, the Alexandria database).

Its energy relative to the elements is 0.44 eV per formula unit.

a b c (Å): 7.7508 7.7508 7.7508
angles (deg): 90.00 90.00 90.00
Space group F-43m (No. 216)
Inequivalent atoms, fractional coordinates:
Ba 0.0000 0.0000 0.0000 [4 per cell]
Sc 0.0000 0.0000 0.5000 [4 per cell]
Tl 0.2500 0.2500 0.7500 [4 per cell]

# NdMnGa2Pt5

An optimized crystal structure of NdMnGa2Pt5 (PBE, the Alexandria database).

Its energy relative to the elements is -4.63 eV per formula unit.

a b c (Å): 4.0336 4.0336 11.1779
angles (deg): 90.00 90.00 90.00
Space group P4/mmm (No. 123)
Inequivalent atoms, fractional coordinates:
Nd 0.0000 0.0000 0.0000 [1 per cell]
Mn 0.0000 0.0000 0.5000 [1 per cell]
Ga 0.5000 0.5000 0.2201 [2 per cell]
Pt 0.0000 0.5000 0.3539 [4 per cell]
Pt 0.5000 0.5000 0.0000 [1 per cell]

# HoEr2Tc

An optimized crystal structure of HoEr2Tc (PBE, the Alexandria database).

Its energy relative to the elements is 1.02 eV per formula unit.

a b c (Å): 3.3907 3.3907 32.5400
angles (deg): 90.00 90.00 120.00
Space group R-3m (No. 166, hexagonal axes)
Inequivalent atoms, fractional coordinates:
Ho 0.0000 0.0000 0.0000 [3 per cell]
Er 0.0000 0.0000 0.1047 [6 per cell]
Tc 0.0000 0.0000 0.5000 [3 per cell]

# Pm9NdTh2

An optimized crystal structure of Pm9NdTh2 (PBE, the Alexandria database).

Its energy relative to the elements is 0.47 eV per formula unit.

a b c (Å): 5.1410 5.1410 15.4353
angles (deg): 90.00 90.00 90.00
Space group P4/mmm (No. 123)
Inequivalent atoms, fractional coordinates:
Pm 0.0000 0.0000 0.0000 [1 per cell]
Pm 0.0000 0.0000 0.3340 [2 per cell]
Pm 0.0000 0.5000 0.1705 [4 per cell]
Pm 0.0000 0.5000 0.5000 [2 per cell]
Nd 0.5000 0.5000 0.0000 [1 per cell]
Th 0.5000 0.5000 0.3342 [2 per cell]

# Pu3N

An optimized crystal structure of Pu3N (PBE, the Alexandria database).

The value obtained for the formation energy (no corrections) is -0.15 eV per atom.

a b c (Å): 3.2359 6.7003 6.6695
angles (deg): 90.00 90.00 90.00
Space group Imm2 (No. 44)
Inequivalent atoms, fractional coordinates:
Pu 0.0000 0.0000 0.0000 [2 per cell]
Pu 0.0000 0.2364 0.3885 [4 per cell]
N 0.0000 0.5000 0.8176 [2 per cell]

# Pm2DyThSe4

An optimized crystal structure of Pm2DyThSe4 (PBE, the Alexandria database).

The value obtained for the formation energy (no corrections) is -1.73 eV per atom.

a b c (Å): 7.2021 4.1415 7.2799
angles (deg): 90.00 109.19 90.00
Space group P2/m (No. 10)
Inequivalent atoms, fractional coordinates:
Pm 0.0000 0.0000 0.0000 [1 per cell]
Pm 0.0000 0.5000 0.5000 [1 per cell]
Dy 0.5000 0.0000 0.5000 [1 per cell]
Th 0.5000 0.5000 0.0000 [1 per cell]
Se 0.2518 0.0000 0.7439 [2 per cell]
Se 0.2571 0.5000 0.2586 [2 per cell]